1) Material: Cs2KPdAu
Method: DFT, PBE
State: relaxed

Calculated values
Total moment   0.00 μB per formula unit

Unit cell a=6.593 b=6.593 c=5.398 alpha=90.00 beta=90.00 gamma=90.00
Space group P4/mmm (No. 123)
Inequivalent atoms, fractional coordinates:
Cs 0.000 0.500 0.000 x2
K 0.000 0.000 0.500 x1
Pd 0.500 0.500 0.000 x1
Au 0.500 0.500 0.500 x1



2) Material: Cs2KPdAu
Method: DFT, PBE
State: relaxed

Calculated values
Total moment   0.00 μB per formula unit

Unit cell a=6.620 b=6.620 c=6.095 alpha=90.00 beta=90.00 gamma=90.00
Space group P4/mmm (No. 123)
Inequivalent atoms, fractional coordinates:
Cs 0.000 0.500 0.000 x2
K 0.000 0.000 0.500 x1
Pd 0.000 0.000 0.000 x1
Au 0.500 0.500 0.500 x1



Which structure is the most stable? The one labeled 2).



1) Material: CsK2RbAu
Method: DFT, PBE
State: relaxed

Calculated values
Total moment   0.00 μB per formula unit

Unit cell a=9.083 b=5.173 c=14.482 alpha=90.00 beta=98.87 gamma=90.00
Space group P2_1/m (No. 11)
Inequivalent atoms, fractional coordinates:
Cs 0.092 0.250 0.390 x2
K 0.337 0.750 0.816 x2
K 0.492 0.250 0.616 x2
Rb 0.184 0.750 0.102 x2
Au 0.274 0.750 0.549 x2



2) Material: CsK2RbAu
Method: DFT, PBE
State: relaxed

Calculated values
Total moment   0.00 μB per formula unit

Unit cell a=6.785 b=6.785 c=7.153 alpha=90.00 beta=90.00 gamma=90.00
Space group P4/mmm (No. 123)
Inequivalent atoms, fractional coordinates:
Cs 0.000 0.000 0.000 x1
K 0.000 0.500 0.500 x2
Rb 0.500 0.500 0.000 x1
Au 0.000 0.000 0.500 x1



Which structure is the most stable? The one labeled 2).



1) Material: CsKRbAu
Method: DFT, PBE
State: relaxed

Calculated values
Total moment   0.00 μB per formula unit

Unit cell a=5.0321 b=5.0321 c=36.1829 alpha=90.00 beta=90.00 gamma=120.00
Space group R3m (No. 160, hexagonal axes)
Inequivalent atoms, fractional coordinates:
Cs 0.0000 0.0000 0.0000 x3
K 0.0000 0.0000 0.7719 x3
Rb 0.0000 0.0000 0.2130 x3
Au 0.0000 0.0000 0.3915 x3



2) Material: CsKRbAu
Method: DFT, PBE
State: relaxed

Calculated values
Total moment   0.00 μB per formula unit

Unit cell a=9.306 b=9.306 c=9.306 alpha=90.00 beta=90.00 gamma=90.00
Space group F-43m (No. 216)
Inequivalent atoms, fractional coordinates:
Cs 0.000 0.000 0.000 x4
K 0.250 0.250 0.750 x4
Rb 0.000 0.000 0.500 x4
Au 0.250 0.250 0.250 x4



Which structure is the most stable? The one labeled 1).



1) Material: CsLa3Au
Method: DFT, PBE
State: relaxed

Calculated values
Total moment   0.00 μB per formula unit

Unit cell a=5.832 b=5.832 c=5.832 alpha=90.00 beta=90.00 gamma=90.00
Space group Pm-3m (No. 221)
Inequivalent atoms, fractional coordinates:
Cs 0.000 0.000 0.000 x1
La 0.000 0.000 0.500 x3
Au 0.500 0.500 0.500 x1



2) Material: CsLa3Au
Method: DFT, PBE
State: relaxed

Calculated values
Total moment   1.70 μB per formula unit

Unit cell a=6.056 b=6.056 c=6.056 alpha=90.00 beta=90.00 gamma=90.00
Space group Pm-3m (No. 221)
Inequivalent atoms, fractional coordinates:
Cs 0.000 0.000 0.000 x1
La 0.000 0.500 0.500 x3
Au 0.500 0.500 0.500 x1



Which structure is the most stable? The one labeled 2).



1) Material: CsLi2Au2
Method: DFT, PBE
State: relaxed

Calculated values
Total moment   0.00 μB per formula unit

Unit cell a=4.671 b=4.671 c=11.874 alpha=90.00 beta=90.00 gamma=90.00
Space group I4/mmm (No. 139)
Inequivalent atoms, fractional coordinates:
Cs 0.000 0.000 0.000 x2
Li 0.000 0.500 0.250 x4
Au 0.000 0.000 0.374 x4



2) Material: CsLi2Au2
Method: DFT, PBE
State: relaxed

Calculated values
Total moment   0.00 μB per formula unit

Unit cell a=8.372 b=8.372 c=3.417 alpha=90.00 beta=90.00 gamma=90.00
Space group P4/mbm (No. 127)
Inequivalent atoms, fractional coordinates:
Cs 0.000 0.000 0.000 x2
Li 0.119 0.381 0.000 x4
Au 0.144 0.644 0.500 x4



Which structure is the most stable? The one labeled 1).



1) Material: CsLi3Au
Method: DFT, PBE
State: relaxed

Calculated values
Total moment   0.00 μB per formula unit

Unit cell a=5.111 b=5.111 c=5.111 alpha=90.00 beta=90.00 gamma=90.00
Space group Pm-3m (No. 221)
Inequivalent atoms, fractional coordinates:
Cs 0.000 0.000 0.000 x1
Li 0.000 0.000 0.500 x3
Au 0.500 0.500 0.500 x1



2) Material: CsLi3Au
Method: DFT, PBE
State: relaxed

Calculated values
Total moment   0.00 μB per formula unit

Unit cell a=5.340 b=5.340 c=5.340 alpha=90.00 beta=90.00 gamma=90.00
Space group Pm-3m (No. 221)
Inequivalent atoms, fractional coordinates:
Cs 0.000 0.000 0.000 x1
Li 0.000 0.500 0.500 x3
Au 0.500 0.500 0.500 x1



Which structure is the most stable? The one labeled 2).



1) Material: CsNa2LiAu
Method: DFT, PBE
State: relaxed

Calculated values
Total moment   0.00 μB per formula unit

Unit cell a=5.905 b=5.905 c=5.370 alpha=90.00 beta=90.00 gamma=90.00
Space group P4/mmm (No. 123)
Inequivalent atoms, fractional coordinates:
Cs 0.000 0.000 0.000 x1
Na 0.000 0.500 0.500 x2
Li 0.500 0.500 0.000 x1
Au 0.500 0.500 0.500 x1



2) Material: CsNa2LiAu
Method: DFT, PBE
State: relaxed

Calculated values
Total moment   0.00 μB per formula unit

Unit cell a=5.864 b=5.864 c=5.166 alpha=90.00 beta=90.00 gamma=90.00
Space group P4/mmm (No. 123)
Inequivalent atoms, fractional coordinates:
Cs 0.000 0.000 0.000 x1
Na 0.000 0.500 0.500 x2
Li 0.500 0.500 0.500 x1
Au 0.500 0.500 0.000 x1



Which structure is the most stable? The one labeled 1).



1) Material: CsLiTl2Au
Method: DFT, PBE
State: relaxed

Calculated values
Total moment   0.00 μB per formula unit

Unit cell a=5.438 b=5.438 c=5.342 alpha=90.00 beta=90.00 gamma=90.00
Space group P4/mmm (No. 123)
Inequivalent atoms, fractional coordinates:
Cs 0.000 0.000 0.000 x1
Li 0.500 0.500 0.500 x1
Tl 0.000 0.500 0.500 x2
Au 0.500 0.500 0.000 x1



2) Material: CsLiTl2Au
Method: DFT, PBE
State: relaxed

Calculated values
Total moment   0.00 μB per formula unit

Unit cell a=5.662 b=5.662 c=5.485 alpha=90.00 beta=90.00 gamma=90.00
Space group P4/mmm (No. 123)
Inequivalent atoms, fractional coordinates:
Cs 0.000 0.000 0.000 x1
Li 0.500 0.500 0.000 x1
Tl 0.000 0.500 0.500 x2
Au 0.500 0.500 0.500 x1



Which structure is the most stable? The one labeled 2).